Record 1
LiSeCl2 meta-GGA SCAN PBEsol geometry; space-group type = P4/mmm (123); excess energy over the best structure of this formula in the dataset = 0.2432 eV per atom
1.0
4.8127 0.0000 0.0000
0.0000 4.8127 0.0000
0.0000 0.0000 3.2400
Li Se Cl
1 1 2
Direct
0.0000 0.0000 0.0000
0.5000 0.5000 0.0000
0.0000 0.5000 0.5000
0.5000 0.0000 0.5000



Record 2
LiMnPO4 meta-GGA SCAN PBEsol geometry; space-group type = P6_222 (180); excess energy over the best structure of this formula in the dataset = 0.0881 eV per atom
1.0
5.2402 0.0000 0.0000
-2.6201 4.5381 0.0000
0.0000 0.0000 13.1079
Li Mn P O
3 3 3 12
Direct
0.0000 0.0000 0.0000
0.0000 0.0000 0.3333
0.0000 0.0000 0.6667
0.0000 0.5000 0.1667
0.5000 0.0000 0.5000
0.5000 0.5000 0.8333
0.0000 0.5000 0.6667
0.5000 0.0000 0.0000
0.5000 0.5000 0.3333
0.1819 0.4039 0.7326
0.1819 0.7779 0.6007
0.2221 0.4039 0.2674
0.2221 0.8181 0.0660
0.4039 0.1819 0.9340
0.4039 0.2221 0.3993
0.5961 0.7779 0.3993
0.5961 0.8181 0.9340
0.7779 0.1819 0.0660
0.7779 0.5961 0.2674
0.8181 0.2221 0.6007
0.8181 0.5961 0.7326



Record 3
K2SeO4 meta-GGA SCAN PBEsol geometry; space-group type = Pnma (62); raw total energy = -10.3851 eV per atom
1.0
7.6832 0.0000 0.0000
0.0000 6.0219 0.0000
0.0000 0.0000 10.3764
K Se O
8 4 16
Direct
0.0080 0.2500 0.2071
0.1700 0.2500 0.5732
0.3300 0.7500 0.0732
0.4920 0.7500 0.7071
0.5080 0.2500 0.2929
0.6700 0.2500 0.9268
0.8300 0.7500 0.4268
0.9920 0.7500 0.7929
0.2192 0.2500 0.9136
0.2808 0.7500 0.4136
0.7192 0.2500 0.5864
0.7808 0.7500 0.0864
0.0063 0.2500 0.9401
0.1714 0.7500 0.5531
0.2256 0.5240 0.3304
0.2256 0.9760 0.3304
0.2744 0.0240 0.8304
0.2744 0.4760 0.8304
0.3286 0.2500 0.0531
0.4937 0.7500 0.4401
0.5063 0.2500 0.5599
0.6714 0.7500 0.9469
0.7256 0.5240 0.1696
0.7256 0.9760 0.1696
0.7744 0.0240 0.6696
0.7744 0.4760 0.6696
0.8286 0.2500 0.4469
0.9937 0.7500 0.0599



Record 4
BeOsS2N meta-GGA SCAN PBEsol geometry; space-group type = P4/mmm (123); raw total energy = -19.9411 eV per atom
1.0
4.4257 0.0000 0.0000
0.0000 4.4257 0.0000
0.0000 0.0000 2.9998
Be Os S N
1 1 2 1
Direct
0.0000 0.0000 0.0000
0.5000 0.5000 0.5000
0.0000 0.5000 0.0000
0.5000 0.0000 0.0000
0.0000 0.0000 0.5000



Record 5
SrHg2Rh meta-GGA SCAN PBEsol geometry; ΔE_f = -1.33 eV per formula unit; space-group type = R3m (160)
1.0
2.3195 1.3392 5.2759
-2.3195 1.3392 5.2759
0.0000 -2.6783 5.2759
Sr Hg Rh
1 2 1
Direct
0.0000 0.0000 0.0000
0.5450 0.5450 0.5450
0.7920 0.7920 0.7920
0.1909 0.1909 0.1909



Record 6
Fe2Cu3Sn6Se16 meta-GGA SCAN PBEsol geometry; space-group type = Pm (6); raw total energy = -23.2206 eV per atom
1.0
7.5668 0.0000 0.0000
0.0000 7.5658 0.0000
-0.0502 0.0000 10.7231
Fe Cu Sn Se
2 3 6 16
Direct
0.0000 0.0000 0.0000
0.4870 0.5000 0.5075
0.2374 0.0000 0.6233
0.2558 0.5000 0.8869
0.7548 0.0000 0.3827
0.2397 0.2595 0.2544
0.2397 0.7405 0.2544
0.5112 0.0000 0.0100
0.7476 0.2504 0.7584
0.7476 0.7496 0.7584
0.9867 0.5000 0.4953
0.0024 0.0000 0.7748
0.0050 0.5000 0.7531
0.2306 0.2280 0.0031
0.2306 0.7720 0.0031
0.2629 0.2719 0.5070
0.2629 0.7281 0.5070
0.4896 0.0000 0.7542
0.4929 0.5000 0.7348
0.4942 0.0000 0.2610
0.4962 0.5000 0.2864
0.7150 0.2699 0.5056
0.7150 0.7301 0.5056
0.7841 0.2272 0.0065
0.7841 0.7728 0.0065
0.9732 0.5000 0.2437
0.9936 0.0000 0.2307



Record 7
Eu2Co4Si3Ge meta-GGA SCAN PBEsol geometry; space-group type = P4mm (99); raw total energy = -23.1278 eV per atom
1.0
3.8776 0.0000 0.0000
0.0000 3.8776 0.0000
0.0000 0.0000 10.0466
Eu Co Si Ge
2 4 3 1
Direct
0.0000 0.0000 0.0000
0.5000 0.5000 0.4963
0.0000 0.5000 0.2472
0.0000 0.5000 0.7550
0.5000 0.0000 0.2472
0.5000 0.0000 0.7550
0.0000 0.0000 0.3603
0.5000 0.5000 0.1315
0.5000 0.5000 0.8685
0.0000 0.0000 0.6285



Record 8
ScTlTc2C meta-GGA SCAN PBEsol geometry; ΔE_f = 12.01 eV per formula unit; space-group type = P4/mmm (123)
1.0
5.0410 0.0000 0.0000
0.0000 5.0410 0.0000
0.0000 0.0000 3.9218
Sc Tl Tc C
1 1 2 1
Direct
0.0000 0.0000 0.0000
0.5000 0.5000 0.5000
0.0000 0.5000 0.5000
0.5000 0.0000 0.5000
0.5000 0.5000 0.0000



Record 9
CaZr2RePd meta-GGA SCAN PBEsol geometry; ΔE_f = 3.86 eV per formula unit; space-group type = P4/mmm (123)
1.0
4.9980 0.0000 0.0000
0.0000 4.9980 0.0000
0.0000 0.0000 4.8464
Ca Zr Re Pd
1 2 1 1
Direct
0.0000 0.0000 0.0000
0.0000 0.5000 0.5000
0.5000 0.0000 0.5000
0.5000 0.5000 0.0000
0.5000 0.5000 0.5000



Record 10
YAsBr2 meta-GGA SCAN PBEsol geometry; space-group type = R-3m (166); excess energy over the best structure of this formula in the dataset = 1.0568 eV per atom
1.0
1.7491 1.0098 9.9507
-1.7491 1.0098 9.9507
0.0000 -2.0197 9.9507
Y As Br
1 1 2
Direct
0.0000 0.0000 0.0000
0.5000 0.5000 0.5000
0.0899 0.0899 0.0899
0.9101 0.9101 0.9101



Record 11
Y2MgCd meta-GGA SCAN PBEsol geometry; ΔE_f = -1.25 eV per formula unit; space-group type = Cmmm (65)
1.0
3.6690 -3.6772 0.0000
3.6690 3.6772 0.0000
0.0000 0.0000 3.8033
Y Mg Cd
2 1 1
Direct
0.0000 0.5000 0.0000
0.5000 0.0000 0.0000
0.0000 0.0000 0.5000
0.5000 0.5000 0.5000



Record 12
YAlHg2 meta-GGA SCAN PBEsol geometry; ΔE_f = -1.66 eV per formula unit; space-group type = Pmm2 (25)
1.0
3.3309 0.0000 0.0000
0.0000 4.6814 0.0000
0.0000 0.0000 5.6819
Y Al Hg
1 1 2
Direct
0.0000 0.0000 0.0000
0.5000 0.5000 0.7455
0.5000 0.0000 0.5175
0.5000 0.5000 0.2278